# Zr3Ag PBE-GGA optimized geometry
# mass density = 7.31 g cm⁻³
# symmetry = No. 63
# total magnetic moment = 0.000 μB per atom
# VASP energy = -0.2602 hartree per atom
# formation energy = 42 meV per atom
data_Zr3Ag
_cell_length_a 6.185
_cell_length_b 6.185
_cell_length_c 5.023
_cell_angle_alpha 90.00
_cell_angle_beta 90.00
_cell_angle_gamma 115.52
_symmetry_space_group_name_H-M 'P 1'
_symmetry_Int_Tables_number 1
loop_
_symmetry_equiv_pos_as_xyz
'x,y,z'
loop_
_atom_site_label
_atom_site_type_symbol
_atom_site_fract_x
_atom_site_fract_y
_atom_site_fract_z
Zr1 Zr 0.591 0.409 0.750
Zr2 Zr 0.101 0.404 0.750
Zr3 Zr 0.596 0.899 0.750
Zr4 Zr 0.409 0.591 0.250
Zr5 Zr 0.899 0.596 0.250
Zr6 Zr 0.404 0.101 0.250
Ag1 Ag 0.093 0.907 0.750
Ag2 Ag 0.907 0.093 0.250

# YMoAu2 PBE-GGA optimized geometry
# polymorph energy (0 for the lowest one) = 0 meV per atom
# mass density = 12.22 g cm⁻³
# symmetry = No. 123
# total magnetic moment = 0.375 μB per atom
# VASP energy = -0.2224 hartree per atom
# formation energy = -90 meV per atom
data_YMoAu2
_cell_length_a 4.426
_cell_length_b 4.425
_cell_length_c 4.016
_cell_angle_alpha 90.00
_cell_angle_beta 90.00
_cell_angle_gamma 90.00
_symmetry_space_group_name_H-M 'P 1'
_symmetry_Int_Tables_number 1
loop_
_symmetry_equiv_pos_as_xyz
'x,y,z'
loop_
_atom_site_label
_atom_site_type_symbol
_atom_site_fract_x
_atom_site_fract_y
_atom_site_fract_z
Au1 Au 0.000 0.000 0.000
Au2 Au 0.500 0.500 0.000
Mo1 Mo 0.500 0.000 0.500
Y1 Y 0.000 0.500 0.500

# YAgHg6 PBE-GGA optimized geometry
# mass density = 9.08 g cm⁻³
# symmetry = No. 166
# total magnetic moment = 0.000 μB per atom
# VASP energy = -0.0458 hartree per atom
# formation energy = 145 meV per atom
data_YAgHg6
_cell_length_a 6.123
_cell_length_b 6.123
_cell_length_c 8.648
_cell_angle_alpha 69.27
_cell_angle_beta 69.27
_cell_angle_gamma 60.00
_symmetry_space_group_name_H-M 'P 1'
_symmetry_Int_Tables_number 1
loop_
_symmetry_equiv_pos_as_xyz
'x,y,z'
loop_
_atom_site_label
_atom_site_type_symbol
_atom_site_fract_x
_atom_site_fract_y
_atom_site_fract_z
Y1 Y 0.000 0.000 0.000
Ag1 Ag 0.500 0.500 0.500
Hg1 Hg 0.068 0.068 0.309
Hg2 Hg 0.068 0.556 0.309
Hg3 Hg 0.444 0.932 0.691
Hg4 Hg 0.932 0.444 0.691
Hg5 Hg 0.932 0.932 0.691
Hg6 Hg 0.556 0.068 0.309

# Ce2SmIrN4 PBE-GGA optimized geometry
# mass density = 9.38 g cm⁻³
# raw formation energy = -7.99 eV/f.u.
# symmetry = No. 63
# total magnetic moment = 0.000 μB per atom
# VASP energy = -0.3066 hartree per atom
data_Ce2SmIrN4
_cell_length_a 3.397
_cell_length_b 6.200
_cell_length_c 11.872
_cell_angle_alpha 90.00
_cell_angle_beta 90.00
_cell_angle_gamma 105.90
_symmetry_space_group_name_H-M 'P 1'
_symmetry_Int_Tables_number 1
loop_
_symmetry_equiv_pos_as_xyz
'x,y,z'
loop_
_atom_site_label
_atom_site_type_symbol
_atom_site_fract_x
_atom_site_fract_y
_atom_site_fract_z
Ce1 Ce 0.370 0.740 0.552
Ce2 Ce 0.630 0.260 0.052
Ce3 Ce 0.630 0.260 0.448
Ce4 Ce 0.370 0.740 0.948
Sm1 Sm 0.111 0.222 0.750
Sm2 Sm 0.889 0.778 0.250
Ir1 Ir 0.849 0.698 0.750
Ir2 Ir 0.151 0.302 0.250
N1 N 0.275 0.551 0.124
N2 N 0.725 0.449 0.624
N3 N 0.725 0.449 0.876
N4 N 0.275 0.551 0.376
N5 N 0.000 0.000 0.500
N6 N 0.000 0.000 0.000
N7 N 0.456 0.911 0.750
N8 N 0.544 0.089 0.250